This record from Alexandria via LeMat-Bulk describes a relaxed structure of LiY2Ru. The functional is PBEsol.

Cell lengths 4.851, 4.851, 4.851 Å; angles 60.00, 60.00, 60.00 degrees
Fractional positions:
Li (0.000, 0.000, 0.000)
Y (0.250, 0.250, 0.250)
Y (0.750, 0.750, 0.750)
Ru (0.500, 0.500, 0.500)

**Excess energy over the best structure of this formula in the dataset**: 0.0 kJ/mol of atoms
**Total magnetization**: 0.0 μB per cell
**Theoretical density**: 5.9 Mg/m³
**Space group**: Fm-3m, No. 225